(1)
VASP calculation (PBE) on an optimized crystal structure of ReTcSe2.

Geometry as POSCAR:
```
ReTcSe2
1.0
-0.9674 2.9404 -0.4737
-0.5855 -2.2983 -2.0447
-6.9417 -1.6625 3.8566
Re Se Tc
1 2 1
direct
0.5000 0.5000 0.7500
0.0000 0.0000 0.0010
0.0000 0.0000 0.4990
0.5000 0.5000 0.2500
```

Summary:
Uncorrected energy (Ry/atom): -0.4851
E above lowest polymorph (eV/atom): 0.906
Space-group type: No. 65
Magnetization (μB/cell): 0.00
Formation energy from raw total energies (eV per atom): 0.846

***

(2)
VASP calculation (PBE) on an optimized crystal structure of ReTcSe4.

Geometry as POSCAR:
```
ReTcSe4
1.0
1.8426 -4.8176 1.9824
-3.0823 -4.5578 -0.5100
1.5476 -4.0073 -3.4757
Re Tc Se
1 1 4
direct
0.0000 0.0000 0.0000
0.7500 0.7500 0.7500
0.8760 0.3746 0.3746
0.3746 0.3746 0.8760
0.3746 0.8760 0.3746
0.3746 0.3746 0.3746
```

Summary:
Uncorrected energy (Ry/atom): -0.3299
E above lowest polymorph (eV/atom): 1.996
Space-group type: No. 216
Magnetization (μB/cell): 0.16
Formation energy from raw total energies (eV per atom): 1.636

***

(3)
VASP calculation (PBE) on an optimized crystal structure of ReTc2Se.

Geometry as POSCAR:
```
ReTc2Se
1.0
5.2295 0.0021 0.0017
2.5055 4.5902 -0.0017
-3.3511 -3.1660 2.4687
Re Se Tc
1 1 2
direct
0.4782 0.4782 0.0000
0.2492 0.7492 0.5000
0.0247 0.0247 0.0000
0.7479 0.2479 0.5000
```

Summary:
Uncorrected energy (Ry/atom): -0.6549
Space-group type: No. 44
Magnetization (μB/cell): 0.00
Formation energy from raw total energies (eV per atom): 0.256

***

(4)
VASP calculation (PBE) on an optimized crystal structure of ReTc2Se.

Geometry as POSCAR:
```
ReTc2Se
1.0
-0.5210 2.6468 -2.9579
-2.2271 -1.5192 -0.9671
-4.3516 2.0271 2.5804
Re Se Tc
1 1 2
direct
0.0000 0.6935 0.4884
0.5000 0.5435 0.7885
0.0000 0.9498 0.9759
0.5000 0.3132 0.2472
```

Summary:
Uncorrected energy (Ry/atom): -0.6537
Space-group type: No. 38
Magnetization (μB/cell): 0.00
Formation energy from raw total energies (eV per atom): 0.272

***

(5)
VASP calculation (PBE) on an optimized crystal structure of ReTcSe4.

Geometry as POSCAR:
```
ReTcSe4
1.0
-2.9602 1.3407 -0.3471
-1.0234 -6.8216 -2.2422
-0.9323 -0.5390 5.8694
Re Tc Se
1 1 4
direct
0.5027 0.0055 0.4458
0.9971 0.9943 0.0528
0.9007 0.8014 0.6301
0.1313 0.2628 0.3877
0.3684 0.7367 0.1142
0.5996 0.1993 0.8694
```

Summary:
Uncorrected energy (Ry/atom): -0.4767
E above lowest polymorph (eV/atom): 0.000
Space-group type: No. 8
Magnetization (μB/cell): 0.00
Formation energy from raw total energies (eV per atom): -0.360

***

(6)
VASP calculation (PBE) on an optimized crystal structure of ReTcSe2.

Geometry as POSCAR:
```
ReTcSe2
1.0
-3.2615 2.0228 -4.0332
0.0310 -4.9663 -2.5160
-6.0771 -2.9515 -0.4086
Re Tc Se
2 2 4
direct
0.0000 0.0000 0.0000
0.7500 0.2500 0.5000
0.5000 0.5000 0.0000
0.2500 0.7500 0.5000
0.6270 0.1250 0.2500
0.1230 0.6250 0.2500
0.3750 0.3730 0.7500
0.8750 0.8770 0.7500
```

Summary:
Uncorrected energy (Ry/atom): -0.5078
E above lowest polymorph (eV/atom): 0.597
Space-group type: No. 122
Magnetization (μB/cell): 0.00
Formation energy from raw total energies (eV per atom): 0.537

***

(7)
VASP calculation (PBE) on an optimized crystal structure of ReTc2Se.

Geometry as POSCAR:
```
ReTc2Se
1.0
8.5949 0.0157 0.0093
8.1104 2.8449 0.0093
8.1104 1.3889 2.4829
Re Se Tc
1 1 2
direct
0.2500 0.2500 0.2500
0.7500 0.7500 0.7500
0.0015 0.0015 0.0015
0.4985 0.4985 0.4985
```

Summary:
Uncorrected energy (Ry/atom): -0.6614
Space-group type: No. 166
Magnetization (μB/cell): 0.00
Formation energy from raw total energies (eV per atom): 0.168

***

(8)
VASP calculation (PBE) on an optimized crystal structure of ReTc2Se.

Geometry as POSCAR:
```
ReTc2Se
1.0
4.8565 0.0949 0.0000
1.7020 4.5495 0.0000
-3.2792 -2.3222 2.7292
Re Se Tc
1 1 2
direct
0.2500 0.7500 0.5000
0.7500 0.2500 0.5000
0.0000 0.0000 0.0000
0.5000 0.5000 0.0000
```

Summary:
Uncorrected energy (Ry/atom): -0.6315
Space-group type: No. 139
Magnetization (μB/cell): 0.00
Formation energy from raw total energies (eV per atom): 0.575

***

(9)
VASP calculation (PBE) on an optimized crystal structure of ReTc2Se.

Geometry as POSCAR:
```
ReTc2Se
1.0
-0.7549 2.1817 1.8839
-2.8824 -0.5599 -0.5067
-0.0380 -4.3637 5.0383
Re Se Tc
1 1 2
direct
0.0000 0.0000 0.5031
0.5000 0.5000 0.7567
0.0000 0.0000 0.9882
0.5000 0.5000 0.2519
```

Summary:
Uncorrected energy (Ry/atom): -0.6593
Space-group type: No. 99
Magnetization (μB/cell): 0.00
Formation energy from raw total energies (eV per atom): 0.196

***

(10)
VASP calculation (PBE) on an optimized crystal structure of ReTc2Se.

Geometry as POSCAR:
```
ReTc2Se
1.0
-0.5680 2.4712 1.5339
-1.7317 0.9684 -2.2014
-5.3086 -2.9947 2.8588
Re Se Tc
1 1 2
direct
0.5000 0.5000 0.2500
0.5000 0.5000 0.7500
0.0000 0.0000 0.9909
0.0000 0.0000 0.5091
```

Summary:
Uncorrected energy (Ry/atom): -0.6662
Space-group type: No. 123
Magnetization (μB/cell): 0.00
Formation energy from raw total energies (eV per atom): 0.102

***

(11)
VASP calculation (PBE) on an optimized crystal structure of Re2TcSe5.

Geometry as POSCAR:
```
Re2TcSe5
1.0
-3.9014 3.5347 2.1399
3.4247 0.4098 5.7661
2.6912 5.7880 2.0783
Re Tc Se
2 1 5
direct
0.5036 0.9988 0.0501
0.9578 0.4268 0.2348
0.9856 0.9074 0.0619
0.5886 0.5932 0.3610
0.6697 0.0812 0.3007
0.3626 0.7474 0.9256
0.2435 0.2865 0.9534
0.9117 0.1818 0.6666
```

Summary:
Uncorrected energy (Ry/atom): -0.4725
Space-group type: No. 1
Magnetization (μB/cell): 0.00
Formation energy from raw total energies (eV per atom): 0.157

***

(12)
VASP calculation (PBE) on an optimized crystal structure of ReTc2Se.

Geometry as POSCAR:
```
ReTc2Se
1.0
4.3991 0.0000 0.0000
2.1995 3.8097 0.0000
2.1995 1.2699 3.5918
Re Se Tc
1 1 2
direct
0.5000 0.5000 0.5000
0.7500 0.7500 0.7500
0.0000 0.0000 0.0000
0.2500 0.2500 0.2500
```

Summary:
Uncorrected energy (Ry/atom): -0.6369
Space-group type: No. 216
Magnetization (μB/cell): 0.00
Formation energy from raw total energies (eV per atom): 0.500